DFT (PBE+U) results for crystalline AcFeAgF6 at its relaxed geometry.

## Properties
* DFT total energy: -5.4813 eV/atom

```
data_AcFeAgF6
_space_group_name_H-M_alt 'P 42 n m'
_space_group_IT_number 102
_space_group_name_Hall 'P 4n -2n'
_cell_length_a 5.387
_cell_length_b 5.387
_cell_length_c 10.936
_cell_angle_alpha 90.00
_cell_angle_beta 90.00
_cell_angle_gamma 90.00
loop_
_atom_site_label
_atom_site_type_symbol
_atom_site_fract_x
_atom_site_fract_y
_atom_site_fract_z
Ac1 Ac 0.000 0.000 0.000
Fe1 Fe 0.000 0.000 0.664
Ag1 Ag 0.000 0.000 0.328
F1 F 0.182 0.182 0.816
F2 F 0.185 0.185 0.518
F3 F 0.231 0.231 0.156
```